DFT (GGA+U) results for a relaxed NiTeOF2 crystal.

The density of states at the Fermi level is 3.00 states/eV/cell. Its space group is P4/mmm. Its volume is 80.48 Å³/f.u. The offset from the most stable computed form is 28.1 kJ/mol of formula units.

POSCAR file:
```
NiTeOF2
1.0
-2.7350 0.5175 2.3528
-3.6521 -3.3181 -3.5154
0.9882 -3.0052 1.8098
F Ni O Te
2 1 1 1
Cartesian
-1.3675 0.2588 1.1764 F
0.4941 -1.5026 0.9049 F
0.0000 0.0000 0.0000 Ni
-2.6994 -2.9029 0.3236 O
-1.8260 -1.6590 -1.7577 Te
```